Below is a geometry-optimized In2HI2 structure, with properties calculated at the PBE level.

Polymorph energy (0 for the lowest one) = 0 meV/atom
SG = P-1, No. 2
DFT total energy = -2.632 eV/atom
Theoretical density = 4.797 Mg/m³

Cell lengths 6.8476, 7.0874, 7.8499 Å; angles 66.81, 84.63, 73.34 degrees
Last column: nearest neighbours and their distance in Å.
Positions (direct):
In  0.0218  0.0135  0.3167  1 H 1.78
In  0.2837  0.3872  0.8341  1 H 2.51
In  0.7163  0.6128  0.1659  1 H 2.51
In  0.9782  0.9865  0.6833  1 H 1.78
H  0.0978  0.1909  0.1067  1 In 1.78
H  0.9022  0.8091  0.8933  1 In 1.78
I  0.2269  0.5954  0.3216  1 In 2.88
I  0.3981  0.9433  0.7779  2 In 2.94-3.21
I  0.6019  0.0567  0.2221  2 In 2.94-3.21
I  0.7731  0.4046  0.6784  1 In 2.88